Computed, not measured: a relaxed Ni2HgP2 crystal at the PBE level of DFT.

Computed properties:
DFT total energy   -4.642 eV per atom
Energy of formation from the pure elements   -0.105 eV per atom
Magnetic moment   0.0 μB per formula unit
Calculated volume   73.4 Å³/f.u.

abc: 4.0596 4.0596 8.9092
angles: 90.00 90.00 90.00
Last column: nearest neighbours and their distance in Å.
Space group I4/mmm (No. 139)
Asymmetric unit:
Ni1 0.0000 0.5000 0.2500  4 P 2.30
Hg1 0.0000 0.0000 0.0000  8 Ni 3.01, 10 P 3.09-3.31
P1 0.0000 0.0000 0.3716  1 P 2.29, 4 Ni 2.30

---

Computed, not measured: a relaxed Ni2HgP crystal at the PBE level of DFT.

Computed properties:
DFT total energy   -4.453 eV per atom
Energy of formation from the pure elements   -0.135 eV per atom
Magnetic moment   0.0 μB per formula unit
Calculated volume   63.6 Å³/f.u.

abc: 6.5439 3.5804 5.9976
angles: 90.00 115.07 90.00
Last column: nearest neighbours and their distance in Å.
Space group C2/m (No. 12)
Asymmetric unit:
Ni1 0.1182 0.0000 0.3693  3 P 2.22-2.28
Hg1 0.0000 0.5000 0.0000  4 Ni 2.69, 2 P 3.00
P1 0.0000 0.5000 0.5000  6 Ni 2.22-2.28

---

Computed, not measured: a relaxed NiHgP crystal at the PBE level of DFT.

Computed properties:
DFT total energy   -3.808 eV per atom
Energy of formation from the pure elements   0.023 eV per atom
Magnetic moment   0.0 μB per formula unit
Calculated volume   50.9 Å³/f.u.

abc: 3.1454 3.1454 5.9374
angles: 90.00 90.00 120.00
Last column: nearest neighbours and their distance in Å.
Space group P3m1 (No. 156)
Asymmetric unit:
Ni1 0.0000 0.0000 0.0000  3 P 2.21
Hg1 0.6667 0.3333 0.6363  3 Ni 2.82, 3 P 3.10, 6 Hg 3.15
P1 0.3333 0.6667 0.2126  3 Ni 2.21

---

Computed, not measured: a relaxed Ni2HgP crystal at the PBE level of DFT.

Computed properties:
DFT total energy   -3.867 eV per atom
Energy of formation from the pure elements   0.452 eV per atom
Magnetic moment   0.0 μB per formula unit
Calculated volume   57.6 Å³/f.u.

abc: 6.1321 6.1321 6.1321
angles: 90.00 90.00 90.00
Last column: nearest neighbours and their distance in Å.
Space group F-43m (No. 216)
Asymmetric unit:
Ni1 0.0000 0.0000 0.0000  4 Ni 2.66, 4 P 2.66
Ni2 0.2500 0.2500 0.2500  4 Hg 2.66, 4 Ni 2.66
Hg1 0.0000 0.0000 0.5000  4 Ni 2.66, 4 P 2.66
P1 0.2500 0.2500 0.7500  4 Hg 2.66, 4 Ni 2.66

---

Computed, not measured: a relaxed NiHg3P crystal at the PBE level of DFT.

Computed properties:
DFT total energy   -1.569 eV per atom
Energy of formation from the pure elements   0.851 eV per atom
Magnetic moment   0.9 μB per formula unit
Calculated volume   135.6 Å³/f.u.

abc: 5.1380 5.1380 5.1380
angles: 90.00 90.00 90.00
Last column: nearest neighbours and their distance in Å.
Space group Pm-3m (No. 221)
Asymmetric unit:
Ni1 0.0000 0.0000 0.0000  12 Hg 3.63
Hg1 0.0000 0.5000 0.5000  2 P 2.57
P1 0.5000 0.5000 0.5000  6 Hg 2.57

---

Computed, not measured: a relaxed NiHg3P crystal at the PBE level of DFT.

Computed properties:
DFT total energy   -1.742 eV per atom
Energy of formation from the pure elements   0.677 eV per atom
Magnetic moment   0.0 μB per formula unit
Calculated volume   120.8 Å³/f.u.

abc: 4.9437 4.9437 4.9437
angles: 90.00 90.00 90.00
Last column: nearest neighbours and their distance in Å.
Space group Pm-3m (No. 221)
Asymmetric unit:
Ni1 0.0000 0.0000 0.0000  6 Hg 2.47
Hg1 0.0000 0.0000 0.5000  2 Ni 2.47
P1 0.5000 0.5000 0.5000  12 Hg 3.50

---

Computed, not measured: a relaxed Ni2HgP2 crystal at the PBE level of DFT.

Computed properties:
DFT total energy   -4.529 eV per atom
Energy of formation from the pure elements   0.008 eV per atom
Magnetic moment   0.0 μB per formula unit
Calculated volume   73.6 Å³/f.u.

abc: 3.5930 3.5930 11.3989
angles: 90.00 90.00 90.00
Last column: nearest neighbours and their distance in Å.
Space group I4/mmm (No. 139)
Asymmetric unit:
Ni1 0.0000 0.0000 0.1242  4 P 2.30
Hg1 0.0000 0.0000 0.5000  8 Ni 2.91
P1 0.0000 0.5000 0.2500  4 Ni 2.30, 4 P 2.54

---

Computed, not measured: a relaxed NiHgP crystal at the PBE level of DFT.

Computed properties:
DFT total energy   -3.601 eV per atom
Energy of formation from the pure elements   0.230 eV per atom
Magnetic moment   0.0 μB per formula unit
Calculated volume   51.8 Å³/f.u.

abc: 5.9166 5.9166 5.9166
angles: 90.00 90.00 90.00
Last column: nearest neighbours and their distance in Å.
Space group F-43m (No. 216)
Asymmetric unit:
Ni1 0.0000 0.0000 0.0000  4 Hg 2.56, 4 P 2.56
Hg1 0.2500 0.2500 0.2500  4 Ni 2.56
P1 0.2500 0.2500 0.7500  4 Ni 2.56

---

Computed, not measured: a relaxed Ni2HgP crystal at the PBE level of DFT.

Computed properties:
DFT total energy   -4.411 eV per atom
Energy of formation from the pure elements   -0.092 eV per atom
Magnetic moment   0.0 μB per formula unit
Calculated volume   60.0 Å³/f.u.

abc: 2.8576 3.2965 12.7329
angles: 90.00 90.00 90.00
Last column: nearest neighbours and their distance in Å.
Space group Imm2 (No. 44)
Asymmetric unit:
Ni1 0.0000 0.0000 0.0000  4 P 2.29
Ni2 0.0000 0.5000 0.3311  2 P 2.20
Hg1 0.0000 0.5000 0.6890  6 Ni 2.80-2.83, 2 Hg 2.86
P1 0.0000 0.0000 0.4459  6 Ni 2.20-2.29

---

Computed, not measured: a relaxed NiHgP crystal at the PBE level of DFT.

Computed properties:
DFT total energy   -3.728 eV per atom
Energy of formation from the pure elements   0.103 eV per atom
Magnetic moment   0.0 μB per formula unit
Calculated volume   51.3 Å³/f.u.

abc: 3.8120 3.8120 4.0755
angles: 90.00 90.00 120.00
Last column: nearest neighbours and their distance in Å.
Space group P-6m2 (No. 187)
Asymmetric unit:
Ni1 0.0000 0.0000 0.0000  3 P 2.20
Hg1 0.6667 0.3333 0.5000  6 Ni 3.00, 6 P 3.00
P1 0.3333 0.6667 0.0000  3 Ni 2.20

---

Computed, not measured: a relaxed NiHgP4 crystal at the PBE level of DFT.

Computed properties:
DFT total energy   -3.905 eV per atom
Energy of formation from the pure elements   0.716 eV per atom
Magnetic moment   0.1 μB per formula unit
Calculated volume   111.9 Å³/f.u.

abc: 7.6490 7.6490 7.6490
angles: 90.00 90.00 90.00
Last column: nearest neighbours and their distance in Å.
Space group F-43m (No. 216)
Asymmetric unit:
Ni1 0.0000 0.0000 0.0000  12 P 3.14, 4 Hg 3.31
Hg1 0.2500 0.2500 0.2500  12 P 3.23, 4 Ni 3.31
P1 0.1453 0.1453 0.6453  3 P 2.26

---

Computed, not measured: a relaxed NiHgPRu2 crystal at the PBE level of DFT.

Computed properties:
DFT total energy   -4.568 eV per atom
Energy of formation from the pure elements   1.441 eV per atom
Magnetic moment   3.5 μB per formula unit
Calculated volume   96.3 Å³/f.u.

abc: 4.5197 4.5197 4.7120
angles: 90.00 90.00 90.00
Last column: nearest neighbours and their distance in Å.
Space group P4/mmm (No. 123)
Asymmetric unit:
Ni1 0.0000 0.0000 0.0000  4 Ru 2.26, 2 Hg 2.36
Hg1 0.0000 0.0000 0.5000  2 Ni 2.36
P1 0.5000 0.5000 0.5000  4 Hg 3.20, 8 Ru 3.26
Ru1 0.0000 0.5000 0.0000  2 Ni 2.26

---

Computed, not measured: a relaxed NiHgP2S crystal at the PBE level of DFT.

Computed properties:
DFT total energy   -3.647 eV per atom
E_form (uncorrected)   0.56 eV/atom
Magnetic moment   0.8 μB per formula unit
Calculated volume   93.6 Å³/f.u.

abc: 4.3521 4.3521 4.9433
angles: 90.00 90.00 90.00
Last column: nearest neighbours and their distance in Å.
Space group P4/mmm (No. 123)
Asymmetric unit:
Ni1 0.0000 0.0000 0.0000  4 P 2.18
Hg1 0.5000 0.5000 0.5000  4 S 3.08, 8 P 3.29
P1 0.0000 0.5000 0.0000  2 Ni 2.18
S1 0.0000 0.0000 0.5000  2 Ni 2.47

---

Computed, not measured: a relaxed TiNi2HgP crystal at the PBE level of DFT.

Computed properties:
DFT total energy   -3.676 eV per atom
Energy of formation from the pure elements   1.358 eV per atom
Magnetic moment   1.6 μB per formula unit
Calculated volume   108.5 Å³/f.u.

abc: 4.6336 4.6336 5.0518
angles: 90.00 90.00 90.00
Last column: nearest neighbours and their distance in Å.
Space group P4/mmm (No. 123)
Asymmetric unit:
Ti1 0.0000 0.0000 0.0000  2 Hg 2.53
Ni1 0.0000 0.5000 0.5000  2 Hg 2.32
Hg1 0.0000 0.0000 0.5000  4 Ni 2.32, 2 Ti 2.53
P1 0.5000 0.5000 0.0000  4 Ti 3.28, 8 Ni 3.43